First-principles (PBE) data for a geometry-optimized KTl2RuBr6 structure, as listed in Alexandria.

The value obtained for the uncorrected formation energy is -7.51 eV/f.u. The density of states at the Fermi level is 24.67 states/eV/cell. The calculation puts the total magnetic moment at 3.08 μB/cell. For the volume, the calculation gives 34.99 Å³ per atom.

It has space group R3 (No. 146, hexagonal axes), with a = 7.9185 Å, b = 7.9185 Å, c = 19.3301 Å, α = 90.00°, β = 90.00° and γ = 120.00°. Symmetry generates all atoms from K at (0.0000, 0.0000, 0.0000), Tl at (0.0000, 0.0000, 0.2770), Tl at (0.0000, 0.0000, 0.7869), Ru at (0.0000, 0.0000, 0.4929), Br at (0.0463, 0.4320, 0.2337) and Br at (0.0987, 0.7094, 0.0827).